1.
10
Lattice="4.8496 0.0000 0.0000 0.0000 7.9027 -0.0008 0.0000 -3.9499 6.8448" Properties=species:S:1:pos:R:3 comment="Er3AlZn (PBE, optimized geometry)" relative_energy_ev_per_fu=0.99 magmom_total_mub_per_cell=0.0 total_energy_ev_per_atom=-3.84 density_g_cm3=7.52 e_form_ev_per_atom=-0.10 pbc="T T T"
Er 1.2124 5.6171 1.3193
Er 3.6372 -1.6643 5.5247
Er 1.2124 3.9523 4.2046
Er 3.6372 0.0004 2.6393
Er 1.2124 2.2859 1.3193
Er 3.6372 1.6669 5.5246
Al 1.2124 0.0020 4.5623
Al 3.6372 3.9508 2.2817
Zn 0.0000 0.0000 0.0000
Zn 2.4248 0.0000 0.0000


2.
10
Lattice="2.9019 0.0000 0.0000 0.0000 2.9019 0.0000 0.0000 0.0000 14.3504" Properties=species:S:1:pos:R:3 comment="TiAl4Fe5 (PBE, optimized geometry)" magmom_total_mub_per_cell=2.9 total_energy_ev_per_atom=-6.87 density_g_cm3=5.98 e_form_ev_per_atom=-0.35 pbc="T T T"
Ti 0.0000 0.0000 0.0000
Al 0.0000 0.0000 2.8806
Al 0.0000 0.0000 5.7544
Al 0.0000 0.0000 8.5959
Al 0.0000 0.0000 11.4698
Fe 1.4510 1.4510 1.4611
Fe 1.4510 1.4510 4.3245
Fe 1.4510 1.4510 7.1752
Fe 1.4510 1.4510 10.0259
Fe 1.4510 1.4510 12.8893


3.
3
Lattice="-3.6249 0.1987 -1.3840 0.2842 -3.6607 -1.2700 0.0567 0.2151 5.3356" Properties=species:S:1:pos:R:3 comment="TbSbIr (PBE, optimized geometry)" magmom_total_mub_per_cell=0.0 total_energy_ev_per_atom=-6.21 density_g_cm3=11.36 pbc="T T T"
Sb -0.8852 -0.8316 2.1991
Ir -3.2158 -3.1829 2.5124
Tb -1.9828 -2.0246 -0.5507


4.
12
Lattice="-1.6004 -5.9657 3.5527 6.7409 2.2859 -0.3281 -2.6943 4.9165 4.6627" Properties=species:S:1:pos:R:3 comment="LaPm2Ho3Se6 (PBE, optimized geometry)" magmom_total_mub_per_cell=0.0 total_energy_ev_per_atom=-5.90 density_g_cm3=7.68 pbc="T T T"
La 0.0000 0.0000 0.0000
Pm 3.9682 -0.4569 0.9619
Pm 1.1722 -3.2229 2.2627
Ho 4.0117 3.3770 2.6463
Ho -1.5656 -2.1403 5.2411
Ho 1.2231 0.6184 3.9437
Se 0.4354 -0.5149 6.4671
Se 3.1476 -1.4627 3.6553
Se 2.0107 1.7516 1.4202
Se 3.2442 2.2637 5.1603
Se -0.7014 2.6994 4.2320
Se -0.7981 -1.0270 2.7270


5.
8
Lattice="7.8847 -0.0742 -0.0320 -1.3023 3.9479 0.0076 3.0144 1.6678 6.6517" Properties=species:S:1:pos:R:3 comment="MnTe2Au (PBE, optimized geometry)" relative_energy_ev_per_fu=0.58 magmom_total_mub_per_cell=1.0 total_energy_ev_per_atom=-4.63 density_g_cm3=8.15 pbc="T T T"
Au 5.3009 1.1349 1.2146
Au 2.7236 2.8413 4.6255
Mn -0.6088 2.9218 0.1255
Mn 0.9586 1.7226 0.5219
Te 6.4486 4.1213 2.1468
Te 8.2629 3.8596 5.2606
Te 2.8884 2.6303 1.8798
Te 5.2162 2.0908 5.3529


6.
6
Lattice="-1.9887 -2.7152 -2.6493 1.6630 -3.3125 2.1467 -14.0171 -0.1311 10.6564" Properties=species:S:1:pos:R:3 comment="Ba5Al (PBE, optimized geometry)" relative_energy_ev_per_fu=0.06 magmom_total_mub_per_cell=0.4 total_energy_ev_per_atom=-2.23 density_g_cm3=3.67 e_form_ev_per_atom=-0.01 pbc="T T T"
Al -0.1629 -3.0139 -0.2513
Ba -12.4917 -0.1169 9.4967
Ba -1.5253 -0.0143 1.1596
Ba -9.8517 -3.1045 7.1145
Ba -4.4911 -3.0544 3.0391
Ba -7.0085 -0.0656 5.3282


7.
5
Lattice="4.0604 0.0000 0.0000 0.0000 8.1717 0.0000 0.0000 0.0000 4.0604" Properties=species:S:1:pos:R:3 comment="BeBiRuCl2 (PBE, optimized geometry)" magmom_total_mub_per_cell=1.1 total_energy_ev_per_atom=-3.85 density_g_cm3=4.81 pbc="T T T"
Ru 0.0000 4.0858 0.0000
Be 0.0000 0.0000 0.0000
Bi 2.0302 4.0858 2.0302
Cl 0.0000 0.0000 2.0302
Cl 2.0302 0.0000 0.0000


8.
20
Lattice="9.2057 -2.1616 -2.2433 0.7529 8.5194 -2.0375 0.7529 -2.3519 8.4380" Properties=species:S:1:pos:R:3 comment="Nd2SmYHo6 (PBE, optimized geometry)" magmom_total_mub_per_cell=0.0 total_energy_ev_per_atom=-4.70 density_g_cm3=7.72 e_form_ev_per_atom=0.12 pbc="T T T"
Nd 5.3563 4.2525 3.2559
Nd 0.7524 1.9907 0.9086
Nd 5.3552 -0.2466 0.9013
Nd 9.9591 2.0152 3.2486
Sm 3.0543 1.5226 3.6230
Sm 7.6572 2.4833 0.5342
Y 3.0543 7.7829 -2.4094
Y 7.6572 -3.7770 6.5666
Ho 1.1779 -0.8041 5.8945
Ho 4.9307 -0.8336 5.8639
Ho 9.5336 4.8099 -1.7373
Ho 5.7808 4.8394 -1.7067
Ho 3.9398 6.6229 0.8771
Ho 2.1689 4.4557 -1.3721
Ho 6.7717 -2.6171 3.2801
Ho 8.5427 -0.4498 5.5292
Ho 2.0132 4.6057 2.4976
Ho 4.0954 2.7615 0.5837
Ho 8.6983 -0.5999 1.6596
Ho 6.6161 1.2443 3.5735


9.
4
Lattice="7.5037 0.0112 0.0520 -3.1186 4.8968 -0.0148 1.2704 0.8176 2.7211" Properties=species:S:1:pos:R:3 comment="Sr2AsW (PBE, optimized geometry)" magmom_total_mub_per_cell=0.4 total_energy_ev_per_atom=-4.64 density_g_cm3=7.23 e_form_ev_per_atom=0.60 pbc="T T T"
Sr 0.0000 0.0000 0.0000
Sr 4.3870 0.4144 1.3865
As 2.1926 2.4540 0.0186
W -0.9241 2.8572 1.3532


10.
4
Lattice="5.1878 0.0000 0.0000 0.0000 5.3152 -0.0040 0.0000 1.0818 5.1927" Properties=species:S:1:pos:R:3 comment="BaHgPb2 (PBE, optimized geometry)" relative_energy_ev_per_fu=0.32 magmom_total_mub_per_cell=0.0 total_energy_ev_per_atom=-2.71 density_g_cm3=8.72 e_form_ev_per_atom=-0.30 pbc="T T T"
Pb 0.0000 6.0774 4.9293
Pb 0.0000 3.5181 2.8537
Hg 2.5939 4.7978 3.8915
Ba 2.5939 1.5993 1.2972


11.
6
Lattice="-0.6821 -2.6449 -3.2627 4.2000 -0.4240 -0.5344 0.0182 -8.5256 6.9074" Properties=species:S:1:pos:R:3 comment="BaCe2Pb3 (PBE, optimized geometry)" magmom_total_mub_per_cell=1.9 total_energy_ev_per_atom=-4.58 density_g_cm3=8.69 e_form_ev_per_atom=-0.42 pbc="T T T"
Ba 1.7680 -5.7972 1.5552
Ce 1.7748 -8.9749 4.1297
Ce 1.7613 -2.6196 -1.0193
Pb 0.0000 0.0000 0.0000
Pb 0.0128 -6.0046 4.8649
Pb 0.0054 -2.5210 2.0425


12.
6
Lattice="2.6274 -4.5508 0.0000 2.6274 4.5508 0.0000 0.0000 0.0000 6.3716" Properties=species:S:1:pos:R:3 comment="ScTl2 (PBE, optimized geometry)" magmom_total_mub_per_cell=0.0 total_energy_ev_per_atom=-3.73 density_g_cm3=9.89 e_form_ev_per_atom=-0.04 pbc="T T T"
Sc 2.6274 1.5169 1.5929
Sc 2.6274 -1.5169 4.7787
Tl 0.0000 0.0000 0.0000
Tl 0.0000 0.0000 3.1858
Tl 2.6274 1.5169 4.7787
Tl 2.6274 -1.5169 1.5929


13.
11
Lattice="3.5894 0.0000 -0.6778 -0.2745 11.9482 -1.4533 -0.0911 0.3948 9.3604" Properties=species:S:1:pos:R:3 comment="Ca2La4Sm5 (PBE, optimized geometry)" magmom_total_mub_per_cell=0.0 total_energy_ev_per_atom=-4.20 density_g_cm3=5.72 e_form_ev_per_atom=0.10 pbc="T T T"
Ca 2.4301 4.4142 3.0257
Ca 0.7938 7.9288 4.2036
La 1.1823 2.7095 6.2606
La 3.1762 9.2477 6.9769
La 2.0416 9.6335 0.9686
La 0.0476 3.0953 0.2523
Sm 3.0661 5.7953 6.3934
Sm 0.1578 6.5477 0.8358
Sm 2.6383 11.4555 4.1280
Sm 1.7947 0.0000 -0.3389
Sm 0.5856 0.8875 3.1012